Record 1
A plane-wave DFT calculation with GGA-PBE was carried out for ReAgPb2 after structural relaxation.

abc: 4.9802 4.9802 5.9114
angles: 80.55 80.55 37.38
Last column: magnetic moment on the atom in μB.
Fractional positions:
Pb 0.0095 0.0095 0.9842  0.01
Pb 0.4905 0.4905 0.5158  0.01
Re 0.7500 0.7500 0.7500  0.68
Ag 0.2500 0.2500 0.2500  0.00

**Total energy**: -19.2 eV/f.u.
**Space group**: No. 12



Record 2
A plane-wave DFT calculation with GGA-PBE was carried out for ReAgPb2 after structural relaxation.

abc: 5.0298 5.0298 5.0298
angles: 60.00 60.00 60.00
Last column: magnetic moment on the atom in μB.
Fractional positions:
Pb 0.0000 0.0000 0.0000  -0.05
Pb 0.2500 0.2500 0.2500  -0.03
Re 0.7500 0.7500 0.7500  1.32
Ag 0.5000 0.5000 0.5000  0.03

**Total energy**: -18.4 eV/f.u.
**Space group**: No. 216



Record 3
A plane-wave DFT calculation with GGA-PBE was carried out for ReAgPb2 after structural relaxation.

abc: 2.9574 4.2293 7.6189
angles: 90.00 90.00 90.00
Fractional positions:
Pb 0.0000 0.0000 0.9269
Pb 0.5000 0.5000 0.3210
Re 0.0000 0.0000 0.5409
Ag 0.5000 0.5000 0.7112

**Total energy**: -19.8 eV/f.u.
**Space group**: No. 25



no.,total magnetization (μB per formula unit),formation energy from the elements (meV/atom),calculated volume (A^3/atom)
1,0.786,883,21.91
2,1.455,1091,22.49
3,0.000,721,23.82